Entry 1:
{"formula": "Pr2Ga6Cu3", "functional": "PBE", "state": "optimized geometry", "e_form_ev_per_atom": -0.4098, "total_magnetization_mub_per_atom": 0.00, "lattice": [[-2.830, -2.973, 0.077], [5.390, -5.080, 2.009], [-3.873, 3.826, 5.409]], "species": ["Ga", "Ga", "Ga", "Ga", "Ga", "Ga", "Pr", "Pr", "Cu", "Cu", "Cu"], "frac_coords": [[0.500, 0.315, 0.000], [0.000, 0.000, 0.807], [0.500, 0.000, 0.315], [0.000, 0.807, 0.000], [0.000, 0.193, 0.193], [0.500, 0.685, 0.685], [0.000, 0.333, 0.667], [0.000, 0.667, 0.333], [0.500, 0.000, 0.639], [0.500, 0.639, 0.000], [0.500, 0.361, 0.361]]}

***

Entry 2:
{"formula": "MnAlCd2", "functional": "PBE", "state": "optimized geometry", "e_form_ev_per_atom": 0.1898, "total_magnetization_mub_per_atom": 0.82, "lattice": [[5.169, 0.017, 0.077], [4.292, 2.882, 0.077], [1.240, 0.380, 4.976]], "species": ["Cd", "Cd", "Al", "Mn"], "frac_coords": [[0.762, 0.762, 0.738], [0.991, 0.991, 0.006], [0.234, 0.234, 0.276], [0.513, 0.513, 0.480]]}

***

Entry 3:
{"formula": "TlSn2Cl6", "functional": "PBE", "state": "optimized geometry", "raw_formation_energy_ev_per_atom": -0.9563, "total_magnetization_mub_per_atom": 0.00, "lattice": [[-3.185, 4.200, -0.052], [-3.402, 0.805, 6.242], [4.688, 6.922, 4.808]], "species": ["Tl", "Cl", "Cl", "Cl", "Cl", "Cl", "Cl", "Sn", "Sn"], "frac_coords": [[0.000, 0.500, 0.500], [0.694, 0.713, 0.899], [0.306, 0.287, 0.101], [0.669, 0.259, 0.404], [0.331, 0.741, 0.596], [0.015, 0.159, 0.811], [0.985, 0.841, 0.189], [0.817, 0.227, 0.138], [0.183, 0.773, 0.862]]}